Entry 1:
Here is a relaxed structure of La4ErPa3P8 from the Alexandria database. Energies are from GGA-PBE.

Cell and atoms, written as CIF:
```
data_La4ErPa3P8
_chemical_formula_sum 'La12 Er3 Pa9 P24'
_space_group_name_H-M_alt 'R -3 m'
_space_group_IT_number 166
_space_group_name_Hall '-R 3 2"'
_cell_length_a 8.1795
_cell_length_b 8.1795
_cell_length_c 20.3033
_cell_angle_alpha 90.00
_cell_angle_beta 90.00
_cell_angle_gamma 120.00
loop_
_atom_site_label
_atom_site_type_symbol
_atom_site_fract_x
_atom_site_fract_y
_atom_site_fract_z
_atom_site_occupancy
La1 La 0.0000 0.0000 0.0000 1
La2 La 0.0000 0.5000 0.0000 1
Er1 Er 0.0000 0.0000 0.5000 1
Pa1 Pa 0.0000 0.5000 0.5000 1
P1 P 0.0000 0.0000 0.2424 1
P2 P 0.0030 0.5015 0.7576 1
```

***

Entry 2:
Here is a relaxed structure of La2ErPaP4 from the Alexandria database. Energies are from GGA-PBE.

Cell and atoms, written as CIF:
```
data_La2ErPaP4
_chemical_formula_sum 'La2 Er1 Pa1 P4'
_space_group_name_H-M_alt 'P 1 2/m 1'
_space_group_IT_number 10
_cell_length_a 7.0614
_cell_length_b 4.1067
_cell_length_c 7.1741
_cell_angle_alpha 90.00
_cell_angle_beta 109.34
_cell_angle_gamma 90.00
loop_
_space_group_symop_operation_xyz
'x,y,z'
'-x,-y,-z'
'-x,y,-z'
'x,-y,z'
loop_
_atom_site_label
_atom_site_type_symbol
_atom_site_fract_x
_atom_site_fract_y
_atom_site_fract_z
_atom_site_occupancy
La1 La 0.0000 0.0000 0.0000 1
La2 La 0.5000 0.5000 0.0000 1
Er1 Er 0.0000 0.5000 0.5000 1
Pa1 Pa 0.5000 0.0000 0.5000 1
P1 P 0.2477 0.0000 0.7292 1
P2 P 0.2597 0.5000 0.2721 1
```

***

| no. | formation energy from the elements (kcal/mol of atoms) |
| --- | --- |
| 1 | -34.06 |
| 2 | -35.04 |